VASP calculation (PBE) on an optimized crystal structure of Tl3Re2.

Cell: 4.8250 4.8250 5.6837 Å, 90.00 90.00 120.00°
Element x y z (fractional)
Tl 0.0000 0.0000 0.0000
Tl 0.3333 0.6667 0.4222
Tl 0.6667 0.3333 0.5778
Re 0.3333 0.6667 0.9389
Re 0.6667 0.3333 0.0611

## Properties
formation enthalpy at 0 K = 4.75 eV per formula unit
crystal system = trigonal

---

VASP calculation (PBE) on an optimized crystal structure of KBe2Cu.

Cell: 4.9608 4.9608 2.6024 Å, 90.00 90.00 90.00°
Element x y z (fractional)
K 0.0000 0.0000 0.0000
Be 0.0000 0.5000 0.5000
Be 0.5000 0.0000 0.5000
Cu 0.5000 0.5000 0.0000

## Properties
formation enthalpy at 0 K = 4.72 eV per formula unit
energy above the lowest structure with this stoichiometry = 0.9576 eV per atom
crystal system = tetragonal

---

VASP calculation (PBE) on an optimized crystal structure of TbPm3Hg.

Cell: 6.8688 6.8688 8.0564 Å, 107.41 107.41 67.03°
Element x y z (fractional)
Tb 0.0606 0.0606 0.2417
Tb 0.9394 0.9394 0.7583
Pm 0.0869 0.5897 0.3549
Pm 0.4103 0.9131 0.6451
Pm 0.4429 0.4429 0.7629
Pm 0.5571 0.5571 0.2371
Pm 0.5897 0.0869 0.3549
Pm 0.9131 0.4103 0.6451
Hg 0.2416 0.2416 0.0004
Hg 0.7584 0.7584 0.9996

## Properties
formation enthalpy at 0 K = -0.47 eV per formula unit
energy above the lowest structure with this stoichiometry = 0.0000 eV per atom
crystal system = monoclinic

---

VASP calculation (PBE) on an optimized crystal structure of MgTe2Pd6.

Cell: 7.3001 7.3001 3.4073 Å, 90.00 90.00 120.00°
Element x y z (fractional)
Mg 0.0000 0.0000 0.0000
Te 0.3333 0.6667 0.5000
Te 0.6667 0.3333 0.5000
Pd 0.0000 0.2772 0.5000
Pd 0.0000 0.6246 0.0000
Pd 0.2772 0.0000 0.5000
Pd 0.3754 0.3754 0.0000
Pd 0.6246 0.0000 0.0000
Pd 0.7228 0.7228 0.5000

## Properties
energy relative to the elements, uncorrected = -0.3690 eV/atom
crystal system = hexagonal

---

VASP calculation (PBE) on an optimized crystal structure of TaHgO2.

Cell: 9.1965 9.1965 9.1965 Å, 19.29 19.29 19.29°
Element x y z (fractional)
Ta 0.0000 0.0000 0.0000
Hg 0.5000 0.5000 0.5000
O 0.3744 0.3744 0.3744
O 0.6256 0.6256 0.6256

## Properties
energy relative to the elements, uncorrected = -1.6868 eV/atom
crystal system = trigonal

---

VASP calculation (PBE) on an optimized crystal structure of LiIn2Re.

Cell: 2.8967 4.5173 5.7207 Å, 90.00 90.00 90.00°
Element x y z (fractional)
Li 0.0000 0.0000 0.0000
In 0.0000 0.0000 0.4471
In 0.5000 0.5000 0.7934
Re 0.5000 0.5000 0.2743

## Properties
formation enthalpy at 0 K = 1.54 eV per formula unit
energy above the lowest structure with this stoichiometry = 0.1525 eV per atom
crystal system = orthorhombic

---

VASP calculation (PBE) on an optimized crystal structure of TaNi2Te.

Cell: 3.3999 3.3999 5.5130 Å, 90.00 90.00 90.00°
Element x y z (fractional)
Ta 0.0000 0.0000 0.0000
Ni 0.5000 0.5000 0.2224
Ni 0.5000 0.5000 0.7776
Te 0.0000 0.0000 0.5000

## Properties
energy relative to the elements, uncorrected = 0.0013 eV/atom
crystal system = tetragonal